1.
{
  "formula": "Ac2DyErBi4",
  "functional": "PBE",
  "state": "optimized geometry",
  "lattice_angstrom": [[-3.0784, 1.3635, -3.2490], [-4.1914, -6.8417, 1.1000], [-2.7686, 5.6965, 5.0139]],
  "species": ["Ac", "Ac", "Dy", "Er", "Bi", "Bi", "Bi", "Bi"],
  "frac_coords": [[0.5000, 0.0000, 0.5000], [0.0000, 0.5000, 0.5000], [0.5000, 0.5000, 0.0000], [0.0000, 0.0000, 0.0000], [0.5000, 0.2409, 0.2253], [0.5000, 0.7591, 0.7747], [0.0000, 0.2570, 0.7739], [0.0000, 0.7430, 0.2261]],
  "ef_ev_per_fu": -7.22,
  "n_ef_per_ev_fu": 1.15
}

---

2.
{
  "formula": "La2TaSiAs",
  "functional": "PBE",
  "state": "optimized geometry",
  "lattice_angstrom": [[5.5352, 0.0000, 0.0000], [0.0000, 4.7748, 0.0000], [0.0000, 0.0000, 5.5352]],
  "species": ["As", "La", "La", "Si", "Ta"],
  "frac_coords": [[0.5000, 0.5000, 0.5000], [0.0000, 0.0000, 0.5000], [0.5000, 0.0000, 0.0000], [0.0000, 0.5000, 0.0000], [0.0000, 0.0000, 0.0000]],
  "n_ef_per_ev_fu": 5.38
}

---

3.
{
  "formula": "AgAu2Br",
  "functional": "PBE",
  "state": "optimized geometry",
  "lattice_angstrom": [[4.7382, -0.7707, -0.1508], [0.4260, 4.7815, 0.1508], [-2.5156, -2.0910, 3.5166]],
  "species": ["Au", "Au", "Br", "Ag"],
  "frac_coords": [[0.0005, 0.0005, 0.0000], [0.7489, 0.2489, 0.5000], [0.5002, 0.5002, 0.0000], [0.2504, 0.7504, 0.5000]],
  "n_ef_per_ev_fu": 0.62
}

---

4.
{
  "formula": "Nd3YEr3",
  "functional": "PBE",
  "state": "optimized geometry",
  "lattice_angstrom": [[7.8632, 0.4533, 4.0130], [2.6509, 7.4168, 4.0130], [0.6056, 0.4533, 8.8072]],
  "species": ["Nd", "Nd", "Nd", "Nd", "Nd", "Nd", "Y", "Y", "Er", "Er", "Er", "Er", "Er", "Er"],
  "frac_coords": [[0.7054, 0.1783, 0.9369], [0.1783, 0.9369, 0.7054], [0.9369, 0.7054, 0.1783], [0.0631, 0.2946, 0.8217], [0.8217, 0.0631, 0.2946], [0.2946, 0.8217, 0.0631], [0.3499, 0.3499, 0.3499], [0.6501, 0.6501, 0.6501], [0.7267, 0.5727, 0.0609], [0.0609, 0.7267, 0.5727], [0.5727, 0.0609, 0.7267], [0.4273, 0.9391, 0.2733], [0.9391, 0.2733, 0.4273], [0.2733, 0.4273, 0.9391]],
  "ef_ev_per_fu": 1.77,
  "n_ef_per_ev_fu": 11.05
}

---

5.
{
  "formula": "LuThCd",
  "functional": "PBE",
  "state": "optimized geometry",
  "lattice_angstrom": [[3.5443, 0.0000, 0.0000], [0.0000, 3.5443, 0.0000], [-1.7722, -1.7722, 6.7630]],
  "species": ["Lu", "Th", "Cd"],
  "frac_coords": [[0.3213, 0.3213, 0.6427], [0.0021, 0.0021, 0.0042], [0.6766, 0.6766, 0.3531]],
  "ef_ev_per_fu": -0.38,
  "n_ef_per_ev_fu": 2.30
}

---

6.
{
  "formula": "Cr2CoSi",
  "functional": "PBE",
  "state": "optimized geometry",
  "lattice_angstrom": [[-3.9960, -3.0822, 6.4638], [-4.9036, -4.6488, 4.6467], [-2.6637, -5.1664, 5.7846]],
  "species": ["Co", "Cr", "Cr", "Si"],
  "frac_coords": [[0.7520, 0.7520, 0.7520], [0.0037, 0.0037, 0.0037], [0.2479, 0.2479, 0.2479], [0.4964, 0.4964, 0.4964]],
  "n_ef_per_ev_fu": 5.18
}

---

7.
{
  "formula": "Ho3Ga5Ni6",
  "functional": "PBE",
  "state": "optimized geometry",
  "lattice_angstrom": [[-2.0784, 2.9811, -1.9050], [3.0540, -2.9175, -7.8976], [-9.5503, -7.2961, -0.9979]],
  "species": ["Ho", "Ho", "Ho", "Ho", "Ho", "Ho", "Ga", "Ga", "Ga", "Ga", "Ga", "Ga", "Ga", "Ga", "Ga", "Ga", "Ni", "Ni", "Ni", "Ni", "Ni", "Ni", "Ni", "Ni", "Ni", "Ni", "Ni", "Ni"],
  "frac_coords": [[0.0000, 0.2527, 0.6927], [0.5000, 0.7473, 0.1927], [0.5000, 0.7473, 0.8073], [0.0000, 0.2305, 0.0000], [0.5000, 0.7695, 0.5000], [0.0000, 0.2527, 0.3073], [0.0000, 0.5101, 0.8623], [0.0000, 0.9108, 0.6734], [0.0000, 0.7387, 0.0000], [0.5000, 0.4899, 0.6377], [0.5000, 0.2613, 0.5000], [0.0000, 0.5101, 0.1377], [0.5000, 0.4899, 0.3623], [0.0000, 0.9108, 0.3266], [0.5000, 0.0892, 0.8266], [0.5000, 0.0892, 0.1734], [0.0000, 0.9619, 0.8851], [0.5000, 0.0381, 0.6149], [0.5000, 0.3645, 0.8369], [0.5000, 0.5392, 0.0000], [0.0000, 0.4608, 0.5000], [0.0000, 0.6355, 0.6631], [0.0000, 0.6355, 0.3369], [0.5000, 0.9356, 0.0000], [0.0000, 0.9619, 0.1149], [0.5000, 0.3645, 0.1631], [0.0000, 0.0644, 0.5000], [0.5000, 0.0381, 0.3851]],
  "ef_ev_per_fu": -8.12,
  "n_ef_per_ev_fu": 6.94
}

---

8.
{
  "formula": "Ac6Ni2SeBr3",
  "functional": "PBE",
  "state": "optimized geometry",
  "lattice_angstrom": [[-3.8598, 6.2527, -2.2313], [-2.4110, -4.0065, 6.0916], [6.5720, 3.6999, 3.4167]],
  "species": ["Ac", "Ac", "Ac", "Ac", "Ac", "Ac", "Ni", "Ni", "Se", "Br", "Br", "Br"],
  "frac_coords": [[0.9314, 0.5745, 0.7968], [0.7102, 0.7102, 0.2006], [0.0686, 0.4255, 0.2032], [0.5745, 0.9314, 0.7968], [0.2898, 0.2898, 0.7994], [0.4255, 0.0686, 0.2032], [0.3325, 0.6675, 0.0000], [0.6675, 0.3325, 0.0000], [0.0000, 0.0000, 0.0000], [0.1561, 0.8439, 0.5000], [0.8439, 0.1561, 0.5000], [0.5000, 0.5000, 0.5000]],
  "n_ef_per_ev_fu": 9.58
}

---

9.
{
  "formula": "CePr2Te",
  "functional": "PBE",
  "state": "optimized geometry",
  "lattice_angstrom": [[4.7213, 0.0000, 0.0000], [0.0000, 4.9706, 0.0000], [0.0000, 0.0000, 4.9706]],
  "species": ["Pr", "Pr", "Te", "Ce"],
  "frac_coords": [[0.0000, 0.0000, 0.5000], [0.0000, 0.5000, 0.0000], [0.5000, 0.5000, 0.5000], [0.5000, 0.0000, 0.0000]],
  "n_ef_per_ev_fu": 7.29
}

---

10.
{
  "formula": "HoCd5Hg4",
  "functional": "PBE",
  "state": "optimized geometry",
  "lattice_angstrom": [[4.7400, 0.0000, -1.3141], [-0.9570, 5.9831, -3.4520], [-0.1636, 0.7585, 8.6156]],
  "species": ["Ho", "Cd", "Cd", "Cd", "Cd", "Cd", "Hg", "Hg", "Hg", "Hg"],
  "frac_coords": [[0.5000, 0.0000, 0.0000], [0.6787, 0.9127, 0.3574], [0.8413, 0.8406, 0.6826], [0.1587, 0.1594, 0.3174], [0.5000, 0.5000, 0.0000], [0.3213, 0.0873, 0.6426], [0.3258, 0.5584, 0.6516], [0.0026, 0.7270, 0.0051], [0.6742, 0.4416, 0.3484], [0.9974, 0.2730, 0.9949]],
  "ef_ev_per_fu": -1.17,
  "n_ef_per_ev_fu": 4.27
}

---

no.,M_tot (μB per formula unit),calculated total energy (eV/atom),density (g/cm³)
1,0.00,-5.015,9.32
2,0.00,-6.144,6.38
3,0.00,-2.500,11.94
4,0.00,-4.669,7.13
5,0.00,-4.412,10.15
6,0.14,-7.887,6.90
7,0.00,-5.120,8.96
8,0.00,-4.790,7.41
9,0.65,-5.189,7.82
10,0.00,-1.153,9.90